A plane-wave DFT calculation with PBE was carried out for crystalline AcCeAs2 at its relaxed geometry.

a = 4.382 Å, b = 4.382 Å, c = 7.612 Å
α = 73.27°, β = 73.27°, γ = 59.99°
Each line ends with the local moment (μB).
Sites, in units of the cell vectors:
Ac: 0.500 0.500 0.500  0.01
Ce: 0.000 0.000 0.000  0.65
As: 0.743 0.743 0.771  -0.02
As: 0.257 0.257 0.229  -0.02

Output
Final energy: -0.4608 Ry/atom
Excess energy over the best structure of this formula in the dataset: 0.0 meV/atom
Energy of formation from the pure elements: -1.4341 eV/atom
Space group: R-3m